{
  "formula": "HoIn2AgCl6",
  "functional": "PBE",
  "state": "optimized geometry",
  "lattice": [[7.272, 0.000, 0.040], [0.000, 7.670, 0.000], [0.122, 0.000, 10.410]],
  "species": ["Cl", "In", "Ag", "Ho", "Cl", "Cl", "In", "Ho", "Cl", "Cl", "Cl", "In", "Cl", "Cl", "Cl", "In", "Cl", "Ag", "Cl", "Cl"],
  "fractional_positions": [[0.906, 0.522, 0.246], [0.521, 0.574, 0.755], [0.000, 0.500, 0.500], [0.500, 0.000, 0.500], [0.188, 0.213, 0.046], [0.203, 0.189, 0.458], [0.021, 0.926, 0.255], [0.000, 0.500, 0.000], [0.312, 0.713, 0.454], [0.297, 0.689, 0.042], [0.797, 0.811, 0.542], [0.979, 0.074, 0.745], [0.594, 0.022, 0.254], [0.688, 0.287, 0.546], [0.406, 0.978, 0.746], [0.479, 0.426, 0.245], [0.703, 0.311, 0.958], [0.500, 0.000, 0.000], [0.094, 0.478, 0.754], [0.812, 0.787, 0.954]],
  "space_group": "P2_1/c",
  "total_magnetization_mub_per_atom": 0.000,
  "formation_energy_uncorrected_kj_per_mol_atoms": -129
}

=====

{
  "formula": "K3HoAg2Cl9",
  "functional": "PBE",
  "state": "optimized geometry",
  "lattice": [[7.416, 0.000, 0.000], [-3.708, 6.422, 0.000], [0.000, 0.000, 9.233]],
  "species": ["Ag", "Ho", "Cl", "Cl", "K", "Cl", "Cl", "Cl", "K", "Cl", "K", "Cl", "Cl", "Cl", "Ag"],
  "fractional_positions": [[0.333, 0.667, 0.159], [0.000, 0.000, 0.500], [0.500, 0.500, 0.000], [0.164, 0.836, 0.333], [0.667, 0.333, 0.284], [0.000, 0.500, 0.000], [0.164, 0.329, 0.333], [0.671, 0.836, 0.333], [0.333, 0.667, 0.716], [0.836, 0.164, 0.667], [0.000, 0.000, 0.000], [0.500, 0.000, 0.000], [0.329, 0.164, 0.667], [0.836, 0.671, 0.667], [0.667, 0.333, 0.841]],
  "space_group": "P-3m1",
  "total_magnetization_mub_per_atom": 0.000,
  "formation_energy_uncorrected_kj_per_mol_atoms": -146
}

=====

{
  "formula": "KHoAg2Cl6",
  "functional": "PBE",
  "state": "optimized geometry",
  "lattice": [[7.096, 0.003, 0.004], [3.551, 6.141, 0.001], [3.552, 2.047, 6.465]],
  "species": ["Cl", "Cl", "Ho", "Ag", "Ag", "Cl", "Cl", "Cl", "K", "Cl"],
  "fractional_positions": [[0.721, 0.151, 0.763], [0.364, 0.721, 0.764], [0.325, 0.325, 0.025], [0.006, 0.007, 0.980], [0.521, 0.521, 0.438], [0.253, 0.934, 0.237], [0.576, 0.253, 0.237], [0.151, 0.365, 0.764], [0.810, 0.810, 0.570], [0.934, 0.576, 0.237]],
  "space_group": "P1",
  "total_magnetization_mub_per_atom": 0.000,
  "formation_energy_uncorrected_kj_per_mol_atoms": -143
}

=====

{
  "formula": "KHoAg2Cl8",
  "functional": "PBE",
  "state": "optimized geometry",
  "lattice": [[6.726, 0.000, 0.000], [0.000, 6.726, 0.000], [-3.363, -3.363, 7.190]],
  "species": ["Cl", "Cl", "Cl", "Cl", "Cl", "Ho", "Ag", "Cl", "Cl", "Cl", "K", "Ag"],
  "fractional_positions": [[0.733, 0.261, 0.877], [0.144, 0.617, 0.877], [0.020, 0.365, 0.318], [0.739, 0.856, 0.123], [0.635, 0.702, 0.682], [0.000, 0.000, 0.000], [0.500, 0.500, 0.000], [0.298, 0.953, 0.318], [0.383, 0.267, 0.123], [0.047, 0.980, 0.682], [0.750, 0.250, 0.500], [0.250, 0.750, 0.500]],
  "space_group": "I-4",
  "total_magnetization_mub_per_atom": 0.000,
  "formation_energy_uncorrected_kj_per_mol_atoms": -112
}

=====

Copy entry 1 word for word.
{
  "formula": "HoIn2AgCl6",
  "functional": "PBE",
  "state": "optimized geometry",
  "lattice": [[7.272, 0.000, 0.040], [0.000, 7.670, 0.000], [0.122, 0.000, 10.410]],
  "species": ["Cl", "In", "Ag", "Ho", "Cl", "Cl", "In", "Ho", "Cl", "Cl", "Cl", "In", "Cl", "Cl", "Cl", "In", "Cl", "Ag", "Cl", "Cl"],
  "fractional_positions": [[0.906, 0.522, 0.246], [0.521, 0.574, 0.755], [0.000, 0.500, 0.500], [0.500, 0.000, 0.500], [0.188, 0.213, 0.046], [0.203, 0.189, 0.458], [0.021, 0.926, 0.255], [0.000, 0.500, 0.000], [0.312, 0.713, 0.454], [0.297, 0.689, 0.042], [0.797, 0.811, 0.542], [0.979, 0.074, 0.745], [0.594, 0.022, 0.254], [0.688, 0.287, 0.546], [0.406, 0.978, 0.746], [0.479, 0.426, 0.245], [0.703, 0.311, 0.958], [0.500, 0.000, 0.000], [0.094, 0.478, 0.754], [0.812, 0.787, 0.954]],
  "space_group": "P2_1/c",
  "total_magnetization_mub_per_atom": 0.000,
  "formation_energy_uncorrected_kj_per_mol_atoms": -129
}